VASP calculation (GGA-PBE) on an optimized crystal structure of GaPSeBr2.

Geometry as POSCAR:
```
GaPSeBr2
1.0
-1.484 1.640 4.833
2.731 -3.997 2.195
3.889 2.792 0.247
Ga Br P Se
1 2 1 1
Direct
0.500 0.500 0.500
0.500 0.000 0.000
0.000 0.500 0.000
0.000 0.000 0.000
0.000 0.000 0.500
```

Computed properties:
The value obtained for the calculated volume is 27.09 A^3/atom. As for the uncorrected formation energy: 0.0095 eV per atom. For the energy above the most stable polymorph in this dataset, the calculation gives 0.0 meV/atom. Its spin magnetization is 0.00 μB/f.u. The calculation puts the density of states at the Fermi level at 1.26 states/eV/f.u. As for the theoretical density: 4.16 g/cm³.